(1)
LaCuTe4 after structural relaxation, computed with PBE.

Lattice parameters (Å, degrees): 8.918 8.918 8.918 90.00 90.00 90.00
Space group F-43m (No. 216)
Asymmetric unit:
La 0.000 0.000 0.000
Cu 0.250 0.250 0.250
Te 0.125 0.125 0.625

Properties
final energy	-3.56	eV/atom
ΔE_f (raw)	36.7	meV per atom



(2)
LaCuTe3 after structural relaxation, computed with PBE.

Lattice parameters (Å, degrees): 6.108 6.108 6.108 90.00 90.00 90.00
Space group Pm-3m (No. 221)
Asymmetric unit:
La 0.000 0.000 0.000
Cu 0.500 0.500 0.500
Te 0.000 0.000 0.500

Properties
final energy	-3.40	eV/atom
ΔE_f (raw)	288.3	meV per atom
relative energy among the computed polymorphs	797	meV per atom



(3)
LaCuTe2 after structural relaxation, computed with PBE.

Lattice parameters (Å, degrees): 4.4842 4.4842 20.1091 90.00 90.00 120.00
Space group R-3m (No. 166, hexagonal axes)
Asymmetric unit:
La 0.0000 0.0000 0.0000
Cu 0.0000 0.0000 0.5000
Te 0.0000 0.0000 0.2387

Properties
final energy	-4.61	eV/atom
ΔE_f (raw)	-787.2	meV per atom



(4)
La2CuTe2 after structural relaxation, computed with PBE.

Lattice parameters (Å, degrees): 8.409 8.409 4.209 90.00 90.00 90.00
Space group P4/mbm (No. 127)
Asymmetric unit:
La 0.157 0.343 0.000
Cu 0.000 0.000 0.500
Te 0.148 0.648 0.500

Properties
final energy	-4.94	eV/atom
ΔE_f (raw)	-892.2	meV per atom
relative energy among the computed polymorphs	78	meV per atom



(5)
LaCuTe2 after structural relaxation, computed with PBE.

Lattice parameters (Å, degrees): 7.154 7.280 4.033 90.00 90.00 90.00
Space group Cmmm (No. 65)
Asymmetric unit:
La 0.000 0.000 0.000
Cu 0.000 0.500 0.000
Te 0.250 0.250 0.500

Properties
final energy	-4.51	eV/atom
ΔE_f (raw)	-685.8	meV per atom



(6)
LaCuTe2 after structural relaxation, computed with PBE.

Lattice parameters (Å, degrees): 7.078 8.069 8.696 90.00 108.82 90.00
Space group P2_1/c (No. 14)
Asymmetric unit:
La 0.216 0.206 0.052
Cu 0.255 0.734 0.324
Te 0.018 0.001 0.284
Te 0.441 0.677 0.626

Properties
final energy	-4.80	eV/atom
ΔE_f (raw)	-970.0	meV per atom



(7)
LaCuTe2 after structural relaxation, computed with PBE.

Lattice parameters (Å, degrees): 4.479 6.035 8.153 90.00 90.00 90.00
Space group Immm (No. 71)
Asymmetric unit:
La 0.000 0.000 0.000
Cu 0.000 0.000 0.500
Te 0.000 0.500 0.207

Properties
final energy	-4.56	eV/atom
ΔE_f (raw)	-732.1	meV per atom



(8)
LaCuTe2 after structural relaxation, computed with PBE.

Lattice parameters (Å, degrees): 4.4308 4.4308 23.3872 90.00 90.00 120.00
Space group R3m (No. 160, hexagonal axes)
Asymmetric unit:
La 0.0000 0.0000 0.0000
Cu 0.0000 0.0000 0.2380
Te 0.0000 0.0000 0.5636
Te 0.0000 0.0000 0.7433

Properties
final energy	-4.68	eV/atom
ΔE_f (raw)	-849.9	meV per atom



(9)
LaCuTe2 after structural relaxation, computed with PBE.

Lattice parameters (Å, degrees): 4.719 4.719 9.477 90.00 90.00 90.00
Space group I4/mmm (No. 139)
Asymmetric unit:
La 0.000 0.000 0.000
Cu 0.000 0.000 0.500
Te 0.000 0.500 0.250

Properties
final energy	-4.33	eV/atom
ΔE_f (raw)	-505.8	meV per atom



(10)
LaCu2Te after structural relaxation, computed with PBE.

Lattice parameters (Å, degrees): 7.172 7.172 7.172 90.00 90.00 90.00
Space group F-43m (No. 216)
Asymmetric unit:
La 0.000 0.000 0.000
Cu 0.000 0.000 0.500
Cu 0.250 0.250 0.250
Te 0.250 0.250 0.750

Properties
final energy	-4.23	eV/atom
ΔE_f (raw)	-168.6	meV per atom



(11)
LaCu2Te after structural relaxation, computed with PBE.

Lattice parameters (Å, degrees): 4.225 4.225 10.139 90.00 90.00 90.00
Space group I-4m2 (No. 119)
Asymmetric unit:
La 0.000 0.000 0.000
Cu 0.000 0.000 0.500
Cu 0.000 0.500 0.250
Te 0.000 0.500 0.750

Properties
final energy	-4.26	eV/atom
ΔE_f (raw)	-195.9	meV per atom



(12)
LaCuTe2 after structural relaxation, computed with PBE.

Lattice parameters (Å, degrees): 4.267 4.267 6.590 90.00 90.00 90.00
Space group P4mm (No. 99)
Asymmetric unit:
La 0.000 0.000 0.000
Cu 0.500 0.500 0.549
Te 0.000 0.000 0.538
Te 0.500 0.500 0.141

Properties
final energy	-4.54	eV/atom
ΔE_f (raw)	-718.2	meV per atom



- The lowest final energy belongs to which entry?
  La2CuTe2